This record from Alexandria describes a relaxed YMnCl crystal. The functional is PBE.

- volume (Å³ per cell) = 71
- E (eV/atom) = -5.975
- space-group type = No. 187
- formation energy (no corrections) (eV/atom) = -0.15
- total magnetization (μB per atom) = 1.210

Unit cell a=4.751 b=4.751 c=3.638 alpha=90.00 beta=90.00 gamma=120.00
Fractional positions:
Y: 0.000 0.000 0.000
Mn: 0.333 0.667 0.500
Cl: 0.667 0.333 0.000